Material: Ce2SiP
Method: DFT, PBE
State: optimized geometry

Structure (extended XYZ):
```
4
Lattice="2.037 1.176 7.081 -2.037 1.176 7.081 0.000 -2.352 7.081" Properties=species:S:1:pos:R:3 pbc="T T T"
Ce 0.000 0.000 0.000
Ce 0.000 0.000 3.731
Si 0.000 0.000 16.049
P 0.000 0.000 12.451
```

Output
crystal system: trigonal
energy above the most stable polymorph in this dataset: 0.218 eV per atom
raw formation energy: -0.824 eV/atom

***

Material: CeSiP2
Method: DFT, PBE
State: optimized geometry

Structure (extended XYZ):
```
4
Lattice="3.811 0.000 0.000 0.002 4.072 0.000 0.002 2.013 5.160" Properties=species:S:1:pos:R:3 pbc="T T T"
Ce 0.000 0.000 0.000
Si 1.919 4.791 2.382
P 0.010 2.082 2.180
P 1.904 4.066 4.505
```

Output
crystal system: triclinic
energy above the most stable polymorph in this dataset: 0.000 eV per atom
raw formation energy: -0.786 eV/atom

***

no.,M_tot (μB/f.u.)
1,0.6
2,0.0